No. 1
Here is an optimized crystal structure of PIr2Pt from the Alexandria database. Energies are from PBE.

Lattice parameters (Å, degrees): 2.7717 4.9079 8.7189 90.00 90.00 90.00
With the nearest neighbours (Å) after each atom.
Space group Cmmm (No. 65)
Inequivalent atoms, fractional coordinates:
P 0.0000 0.0000 0.0000 x2  4 Ir 2.36
Ir 0.0000 0.5000 0.2187 x4  2 P 2.36
Pt 0.0000 0.0000 0.5000 x2  6 Pt 2.77-2.82, 4 Ir 2.82

ΔE_f (meV/atom): 198
Density of states at the Fermi level (states/eV per cell): 7.7
Density (g cm⁻³): 17.09

No. 2
Here is an optimized crystal structure of PIr2Pt from the Alexandria database. Energies are from PBE.

Lattice parameters (Å, degrees): 3.8998 3.8998 7.7270 90.00 90.00 90.00
With the nearest neighbours (Å) after each atom.
Space group I-4m2 (No. 119)
Inequivalent atoms, fractional coordinates:
P 0.0000 0.0000 0.0000 x2  8 Ir 2.74-2.76, 4 Pt 2.74
Ir 0.0000 0.0000 0.5000 x2  4 Ir 2.74, 4 Pt 2.74, 4 P 2.76
Ir 0.0000 0.5000 0.2500 x2  4 Ir 2.74, 4 P 2.74, 4 Pt 2.76
Pt 0.0000 0.5000 0.7500 x2  8 Ir 2.74-2.76, 4 P 2.74

ΔE_f (meV/atom): 323
Density of states at the Fermi level (states/eV per cell): 9.4
Density (g cm⁻³): 17.25

No. 3
Here is an optimized crystal structure of PIr2Pt from the Alexandria database. Energies are from PBE.

Lattice parameters (Å, degrees): 2.7741 3.7834 5.7316 90.00 90.00 90.00
With the nearest neighbours (Å) after each atom.
Space group Pmm2 (No. 25)
Inequivalent atoms, fractional coordinates:
P 0.0000 0.0000 0.0000 x1  5 Ir 2.37-2.49
Ir 0.0000 0.0000 0.5859 x1  1 P 2.37
Ir 0.5000 0.5000 0.8528 x1  4 P 2.49, 2 Ir 2.77
Pt 0.5000 0.5000 0.3420 x1  6 Ir 2.73-2.93, 2 Pt 2.77, 4 P 3.06

ΔE_f (meV/atom): 141
Density of states at the Fermi level (states/eV per cell): 4.4
Density (g cm⁻³): 16.85

No. 4
Here is an optimized crystal structure of PIr2Pt from the Alexandria database. Energies are from PBE.

Lattice parameters (Å, degrees): 5.3511 9.3028 2.7954 90.00 121.34 90.00
With the nearest neighbours (Å) after each atom.
Space group C2/m (No. 12)
Inequivalent atoms, fractional coordinates:
P 0.0000 0.0000 0.0000 x2  4 Pt 2.68, 4 Ir 2.68, 2 P 2.80
Ir 0.2500 0.2500 0.0000 x4  6 Ir 2.68-2.80, 2 Pt 2.68, 2 P 2.68
Pt 0.0000 0.5000 0.0000 x2  4 P 2.68, 4 Ir 2.68, 2 Pt 2.80

ΔE_f (meV/atom): 240
Density of states at the Fermi level (states/eV per cell): 5.8
Density (g cm⁻³): 17.06

No. 5
Here is an optimized crystal structure of PIr2Pt from the Alexandria database. Energies are from PBE.

Lattice parameters (Å, degrees): 2.8384 2.8384 24.6943 90.00 90.00 120.00
With the nearest neighbours (Å) after each atom.
Space group R-3m (No. 166, hexagonal axes)
Inequivalent atoms, fractional coordinates:
P 0.0000 0.0000 0.0000 x3  6 Ir 2.38
Ir 0.0000 0.0000 0.2635 x6  3 P 2.38
Pt 0.0000 0.0000 0.5000 x3  6 Pt 2.84, 6 Ir 2.90

ΔE_f (meV/atom): -161
Density of states at the Fermi level (states/eV per cell): 3.2
Density (g cm⁻³): 17.65

No. 6
Here is an optimized crystal structure of PIr4Pt from the Alexandria database. Energies are from PBE.

Lattice parameters (Å, degrees): 7.3120 7.3120 7.3120 90.00 90.00 90.00
With the nearest neighbours (Å) after each atom.
Space group F-43m (No. 216)
Inequivalent atoms, fractional coordinates:
P 0.0000 0.0000 0.0000 x4  12 Ir 3.03, 4 Pt 3.17
Ir 0.1249 0.1249 0.3751 x16  6 Ir 2.58-2.59
Pt 0.2500 0.2500 0.7500 x4  12 Ir 3.03, 4 P 3.17

ΔE_f (meV/atom): 802
Density of states at the Fermi level (states/eV per cell): 47.9
Density (g cm⁻³): 16.90

Question: Among the records above, which one has the lowest density?
Answer: number 3

Question: Which of these has the lowest density?
Answer: number 3

What did the fourth record say?
Here is an optimized crystal structure of PIr2Pt from the Alexandria database. Energies are from PBE.

Lattice parameters (Å, degrees): 5.3511 9.3028 2.7954 90.00 121.34 90.00
With the nearest neighbours (Å) after each atom.
Space group C2/m (No. 12)
Inequivalent atoms, fractional coordinates:
P 0.0000 0.0000 0.0000 x2  4 Pt 2.68, 4 Ir 2.68, 2 P 2.80
Ir 0.2500 0.2500 0.0000 x4  6 Ir 2.68-2.80, 2 Pt 2.68, 2 P 2.68
Pt 0.0000 0.5000 0.0000 x2  4 P 2.68, 4 Ir 2.68, 2 Pt 2.80

ΔE_f (meV/atom): 240
Density of states at the Fermi level (states/eV per cell): 5.8
Density (g cm⁻³): 17.06

Question: The highest density belongs to which entry?
Answer: number 5